Compound: BeRu2Pb
Source: the Alexandria database
Functional: PBE
Structure: relaxed

Results
ΔE_f in meV/atom: 617
Polymorph energy (0 for the lowest one) in eV per formula unit: 1.30
Calculated total energy in eV/cell: -23.52
Symmetry: F-43m, No. 216

abc: 4.431 4.431 4.431
angles: 60.00 60.00 60.00
Sites, in units of the cell vectors:
Ru 0.250 0.250 0.250
Pb 0.750 0.750 0.750
Ru 0.000 0.000 0.000
Be 0.500 0.500 0.500